(1)
Entry from the Alexandria database: a relaxed BaSbP crystal (PBE).

Lattice parameters (Å, degrees): 6.384 6.384 6.384 143.84 143.84 52.07
Fractional positions:
Ba 0.000 0.000 0.000
Sb 0.714 0.714 0.000
P 0.278 0.278 0.000

Output
**Magnetic moment**: 0.00 μB per formula unit
**Energy relative to the elements, uncorrected**: -419 meV per atom
**DOS at the Fermi energy**: 0.41 states/eV per atom

***

(2)
Entry from the Alexandria database: a relaxed BaSb2P crystal (PBE).

Lattice parameters (Å, degrees): 9.265 9.265 9.265 24.45 24.45 24.45
Fractional positions:
Ba 0.000 0.000 0.000
Sb 0.228 0.228 0.228
Sb 0.772 0.772 0.772
P 0.500 0.500 0.500

Output
**Magnetic moment**: 0.00 μB per formula unit
**Energy relative to the elements, uncorrected**: -87 meV per atom
**DOS at the Fermi energy**: 0.51 states/eV per atom

***

(3)
Entry from the Alexandria database: a relaxed BaSb2P2 crystal (PBE).

Lattice parameters (Å, degrees): 6.493 6.493 6.493 132.45 132.45 69.51
Fractional positions:
Ba 0.000 0.000 0.000
Sb 0.327 0.327 0.000
Sb 0.673 0.673 0.000
P 0.250 0.750 0.500
P 0.750 0.250 0.500

Output
**Magnetic moment**: 0.00 μB per formula unit
**Energy relative to the elements, uncorrected**: -273 meV per atom
**DOS at the Fermi energy**: 0.43 states/eV per atom

***

(4)
Entry from the Alexandria database: a relaxed BaSb2P crystal (PBE).

Lattice parameters (Å, degrees): 5.086 4.434 5.986 90.00 103.26 90.00
Fractional positions:
Ba 0.000 0.000 0.000
Sb 0.361 0.500 0.681
Sb 0.586 0.000 0.433
P 0.564 0.500 0.112

Output
**Magnetic moment**: 0.00 μB per formula unit
**Energy relative to the elements, uncorrected**: -397 meV per atom
**DOS at the Fermi energy**: 0.57 states/eV per atom

***

(5)
Entry from the Alexandria database: a relaxed BaSb2P crystal (PBE).

Lattice parameters (Å, degrees): 7.041 7.041 7.041 107.86 107.86 112.74
Fractional positions:
Ba 0.000 0.000 0.000
Ba 0.750 0.250 0.500
Sb 0.221 0.125 0.596
Sb 0.375 0.779 0.904
Sb 0.529 0.625 0.404
Sb 0.875 0.471 0.096
P 0.250 0.750 0.500
P 0.500 0.500 0.000

Output
**Magnetic moment**: 0.00 μB per formula unit
**Energy relative to the elements, uncorrected**: -269 meV per atom
**DOS at the Fermi energy**: 0.95 states/eV per atom

***

(6)
Entry from the Alexandria database: a relaxed Ba2SbP2 crystal (PBE).

Lattice parameters (Å, degrees): 10.327 10.327 10.327 158.25 158.25 30.95
Fractional positions:
Ba 0.119 0.119 0.000
Ba 0.881 0.881 0.000
Sb 0.500 0.500 0.000
P 0.250 0.750 0.500
P 0.750 0.250 0.500

Output
**Magnetic moment**: 0.00 μB per formula unit
**Energy relative to the elements, uncorrected**: -569 meV per atom
**DOS at the Fermi energy**: 0.36 states/eV per atom

***

(7)
Entry from the Alexandria database: a relaxed BaSb2P crystal (PBE).

Lattice parameters (Å, degrees): 6.304 6.304 6.212 93.75 93.75 34.29
Fractional positions:
Ba 0.000 0.000 0.000
Sb 0.517 0.517 0.503
Sb 0.753 0.753 0.647
P 0.265 0.265 0.936

Output
**Magnetic moment**: 0.00 μB per formula unit
**Energy relative to the elements, uncorrected**: -374 meV per atom
**DOS at the Fermi energy**: 0.33 states/eV per atom

***

(8)
Entry from the Alexandria database: a relaxed BaSb2P crystal (PBE).

Lattice parameters (Å, degrees): 5.720 5.720 5.720 127.17 127.17 77.97
Fractional positions:
Ba 0.000 0.000 0.000
Sb 0.500 0.500 0.000
Sb 0.750 0.250 0.500
P 0.250 0.750 0.500

Output
**Magnetic moment**: 0.00 μB per formula unit
**Energy relative to the elements, uncorrected**: -110 meV per atom
**DOS at the Fermi energy**: 0.40 states/eV per atom

***

(9)
Entry from the Alexandria database: a relaxed Ba2SbP2 crystal (PBE).

Lattice parameters (Å, degrees): 8.023 8.023 4.633 90.00 90.00 90.00
Fractional positions:
Ba 0.155 0.345 0.000
Ba 0.345 0.845 0.000
Ba 0.655 0.155 0.000
Ba 0.845 0.655 0.000
Sb 0.000 0.000 0.500
Sb 0.500 0.500 0.500
P 0.159 0.659 0.500
P 0.341 0.159 0.500
P 0.659 0.841 0.500
P 0.841 0.341 0.500

Output
**Magnetic moment**: 0.29 μB per formula unit
**Energy relative to the elements, uncorrected**: -666 meV per atom
**DOS at the Fermi energy**: 0.91 states/eV per atom

***

(10)
Entry from the Alexandria database: a relaxed BaSb2P crystal (PBE).

Lattice parameters (Å, degrees): 6.574 6.574 6.574 139.97 139.97 57.90
Fractional positions:
Ba 0.000 0.000 0.000
Sb 0.250 0.750 0.500
Sb 0.750 0.250 0.500
P 0.500 0.500 0.000

Output
**Magnetic moment**: 0.00 μB per formula unit
**Energy relative to the elements, uncorrected**: -203 meV per atom
**DOS at the Fermi energy**: 0.62 states/eV per atom

***

(11)
Entry from the Alexandria database: a relaxed BaSbP3 crystal (PBE).

Lattice parameters (Å, degrees): 5.164 5.164 5.164 90.00 90.00 90.00
Fractional positions:
Ba 0.000 0.000 0.000
Sb 0.500 0.500 0.500
P 0.000 0.500 0.500
P 0.500 0.000 0.500
P 0.500 0.500 0.000

Output
**Magnetic moment**: 0.00 μB per formula unit
**Energy relative to the elements, uncorrected**: 182 meV per atom
**DOS at the Fermi energy**: 0.92 states/eV per atom

***

(12)
Entry from the Alexandria database: a relaxed Ba3SbP crystal (PBE).

Lattice parameters (Å, degrees): 9.740 8.989 9.523 90.00 99.67 90.00
Fractional positions:
Ba 0.050 0.005 0.219
Ba 0.050 0.495 0.719
Ba 0.260 0.614 0.076
Ba 0.260 0.886 0.576
Ba 0.372 0.206 0.984
Ba 0.372 0.294 0.484
Ba 0.628 0.706 0.516
Ba 0.628 0.794 0.016
Ba 0.740 0.114 0.424
Ba 0.740 0.386 0.924
Ba 0.950 0.505 0.281
Ba 0.950 0.995 0.781
Sb 0.409 0.565 0.765
Sb 0.409 0.935 0.265
Sb 0.591 0.065 0.735
Sb 0.591 0.435 0.235
P 0.062 0.217 0.509
P 0.062 0.283 0.009
P 0.938 0.717 0.991
P 0.938 0.783 0.491

Output
**Magnetic moment**: 0.00 μB per formula unit
**Energy relative to the elements, uncorrected**: -988 meV per atom